A) VASP calculation (PBE) on an optimized crystal structure of RbPW3.

Summary:
ρ, g/cm3: 10.50
Symmetry: No. 221

Unit cell a=4.726 b=4.726 c=4.726 alpha=90.00 beta=90.00 gamma=90.00
Sites, in units of the cell vectors:
Rb: 0.000 0.000 0.000
P: 0.500 0.500 0.500
W: 0.000 0.000 0.500
W: 0.000 0.500 0.000
W: 0.500 0.000 0.000


B) VASP calculation (PBE) on an optimized crystal structure of RbPW3.

Summary:
ρ, g/cm3: 10.88
Symmetry: No. 221

Unit cell a=4.672 b=4.672 c=4.672 alpha=90.00 beta=90.00 gamma=90.00
Sites, in units of the cell vectors:
Rb: 0.000 0.000 0.000
P: 0.500 0.500 0.500
W: 0.000 0.500 0.500
W: 0.500 0.000 0.500
W: 0.500 0.500 0.000


Ranked by calculated energy, most stable first: B), A).


A) VASP calculation (PBE) on an optimized crystal structure of RbP2W.

Summary:
ρ, g/cm3: 7.26
Symmetry: No. 225

Unit cell a=4.750 b=4.750 c=4.750 alpha=60.00 beta=60.00 gamma=60.00
Sites, in units of the cell vectors:
Rb: 0.000 0.000 0.000
P: 0.250 0.250 0.250
P: 0.750 0.750 0.750
W: 0.500 0.500 0.500


B) VASP calculation (PBE) on an optimized crystal structure of RbP2W.

Summary:
ρ, g/cm3: 3.91
Symmetry: No. 141

Unit cell a=7.512 b=7.512 c=7.512 alpha=123.68 beta=123.68 gamma=83.73
Sites, in units of the cell vectors:
Rb: 0.375 0.625 0.750
Rb: 0.625 0.375 0.250
P: 0.000 0.000 0.000
P: 0.000 0.000 0.500
P: 0.000 0.500 0.000
P: 0.500 0.000 0.500
W: 0.125 0.875 0.250
W: 0.875 0.125 0.750


Ranked by calculated energy, most stable first: B), A).


A) VASP calculation (PBE) on an optimized crystal structure of RbY3P.

Summary:
ρ, g/cm3: 4.14
Symmetry: No. 221

Unit cell a=5.357 b=5.357 c=5.357 alpha=90.00 beta=90.00 gamma=90.00
Sites, in units of the cell vectors:
Rb: 0.000 0.000 0.000
Y: 0.000 0.000 0.500
Y: 0.000 0.500 0.000
Y: 0.500 0.000 0.000
P: 0.500 0.500 0.500


B) VASP calculation (PBE) on an optimized crystal structure of RbY3P.

Summary:
ρ, g/cm3: 3.71
Symmetry: No. 221

Unit cell a=5.555 b=5.555 c=5.555 alpha=90.00 beta=90.00 gamma=90.00
Sites, in units of the cell vectors:
Rb: 0.000 0.000 0.000
Y: 0.000 0.500 0.500
Y: 0.500 0.000 0.500
Y: 0.500 0.500 0.000
P: 0.500 0.500 0.500


Ranked by calculated energy, most stable first: B), A).


A) VASP calculation (PBE) on an optimized crystal structure of Rb2ZnP.

Summary:
ρ, g/cm3: 2.08
Symmetry: No. 15

Unit cell a=9.784 b=9.784 c=10.271 alpha=105.23 beta=105.23 gamma=26.87
Sites, in units of the cell vectors:
Rb: 0.121 0.122 0.061
Rb: 0.122 0.121 0.561
Rb: 0.878 0.879 0.439
Rb: 0.879 0.878 0.939
Zn: 0.496 0.504 0.750
Zn: 0.504 0.496 0.250
P: 0.004 0.996 0.250
P: 0.996 0.004 0.750


B) VASP calculation (PBE) on an optimized crystal structure of Rb2ZnP.

Summary:
ρ, g/cm3: 2.31
Symmetry: No. 122

Unit cell a=11.400 b=11.400 c=11.400 alpha=149.31 beta=149.31 gamma=43.96
Sites, in units of the cell vectors:
Rb: 0.095 0.625 0.970
Rb: 0.375 0.345 0.470
Rb: 0.655 0.125 0.030
Rb: 0.875 0.905 0.530
Zn: 0.250 0.750 0.500
Zn: 0.500 0.500 0.000
P: 0.000 0.000 0.000
P: 0.750 0.250 0.500


C) VASP calculation (PBE) on an optimized crystal structure of Rb2ZnP.

Summary:
ρ, g/cm3: 3.13
Symmetry: No. 225

Unit cell a=5.855 b=5.855 c=5.855 alpha=60.00 beta=60.00 gamma=60.00
Sites, in units of the cell vectors:
Rb: 0.250 0.250 0.250
Rb: 0.750 0.750 0.750
Zn: 0.000 0.000 0.000
P: 0.500 0.500 0.500


Ranked by calculated energy, most stable first: A), C), B).


A) VASP calculation (PBE) on an optimized crystal structure of RbZr2P2.

Summary:
ρ, g/cm3: 3.71
Symmetry: No. 139

Unit cell a=7.871 b=7.871 c=7.871 alpha=146.53 beta=146.53 gamma=48.07
Sites, in units of the cell vectors:
Rb: 0.000 0.000 0.000
Zr: 0.250 0.750 0.500
Zr: 0.750 0.250 0.500
P: 0.340 0.340 0.000
P: 0.660 0.660 0.000


B) VASP calculation (PBE) on an optimized crystal structure of RbZr2P2.

Summary:
ρ, g/cm3: 5.11
Symmetry: No. 127

Unit cell a=7.939 b=7.939 c=3.402 alpha=90.00 beta=90.00 gamma=90.00
Sites, in units of the cell vectors:
Rb: 0.000 0.000 0.000
Rb: 0.500 0.500 0.000
Zr: 0.136 0.364 0.500
Zr: 0.364 0.864 0.500
Zr: 0.636 0.136 0.500
Zr: 0.864 0.636 0.500
P: 0.137 0.637 0.000
P: 0.363 0.137 0.000
P: 0.637 0.863 0.000
P: 0.863 0.363 0.000


Ranked by calculated energy, most stable first: A), B).


A) VASP calculation (PBE) on an optimized crystal structure of RbZrP2.

Summary:
ρ, g/cm3: 4.59
Symmetry: No. 225

Unit cell a=4.963 b=4.963 c=4.963 alpha=60.00 beta=60.00 gamma=60.00
Sites, in units of the cell vectors:
Rb: 0.000 0.000 0.000
Zr: 0.500 0.500 0.500
P: 0.250 0.250 0.250
P: 0.750 0.750 0.750


B) VASP calculation (PBE) on an optimized crystal structure of RbZrP2.

Summary:
ρ, g/cm3: 2.70
Symmetry: No. 141

Unit cell a=8.895 b=8.895 c=8.895 alpha=139.57 beta=139.57 gamma=58.51
Sites, in units of the cell vectors:
Rb: 0.375 0.625 0.750
Rb: 0.625 0.375 0.250
Zr: 0.125 0.875 0.250
Zr: 0.875 0.125 0.750
P: 0.000 0.000 0.000
P: 0.000 0.000 0.500
P: 0.000 0.500 0.000
P: 0.500 0.000 0.500


Ranked by calculated energy, most stable first: B), A).


A) VASP calculation (PBE) on an optimized crystal structure of Re3P4.

Summary:
ρ, g/cm3: 10.76
Symmetry: No. 191

Unit cell a=5.467 b=5.467 c=4.069 alpha=90.00 beta=90.00 gamma=120.00
Sites, in units of the cell vectors:
Re: 0.000 0.500 0.000
Re: 0.500 0.000 0.000
Re: 0.500 0.500 0.000
P: 0.000 0.000 0.246
P: 0.000 0.000 0.754
P: 0.333 0.667 0.500
P: 0.667 0.333 0.500


B) VASP calculation (PBE) on an optimized crystal structure of Re3P4.

Summary:
ρ, g/cm3: 11.75
Symmetry: No. 139

Unit cell a=9.800 b=9.800 c=9.800 alpha=161.33 beta=161.33 gamma=26.53
Sites, in units of the cell vectors:
Re: 0.000 0.000 0.000
Re: 0.305 0.305 0.000
Re: 0.695 0.695 0.000
P: 0.148 0.148 0.000
P: 0.433 0.433 0.000
P: 0.567 0.567 0.000
P: 0.852 0.852 0.000


C) VASP calculation (PBE) on an optimized crystal structure of Re3P4.

Summary:
ρ, g/cm3: 10.97
Symmetry: No. 12

Unit cell a=6.330 b=6.330 c=6.061 alpha=113.10 beta=113.10 gamma=27.70
Sites, in units of the cell vectors:
Re: 0.000 0.000 0.000
Re: 0.264 0.264 0.319
Re: 0.736 0.736 0.681
P: 0.085 0.085 0.437
P: 0.351 0.351 0.024
P: 0.649 0.649 0.976
P: 0.915 0.915 0.563


Ranked by calculated energy, most stable first: C), B), A).


A) VASP calculation (PBE) on an optimized crystal structure of ReP2Rh.

Summary:
ρ, g/cm3: 7.95
Symmetry: No. 122

Unit cell a=6.465 b=6.465 c=6.465 alpha=131.90 beta=131.90 gamma=70.38
Sites, in units of the cell vectors:
Re: 0.000 0.000 0.000
Re: 0.750 0.250 0.500
P: 0.124 0.625 0.999
P: 0.375 0.374 0.499
P: 0.626 0.125 0.001
P: 0.875 0.876 0.501
Rh: 0.250 0.750 0.500
Rh: 0.500 0.500 0.000


B) VASP calculation (PBE) on an optimized crystal structure of ReP2Rh.

Summary:
ρ, g/cm3: 10.26
Symmetry: No. 160

Unit cell a=7.561 b=7.561 c=7.561 alpha=22.77 beta=22.77 gamma=22.77
Sites, in units of the cell vectors:
Re: 0.000 0.000 0.000
P: 0.259 0.259 0.259
P: 0.511 0.511 0.511
Rh: 0.773 0.773 0.773


Ranked by calculated energy, most stable first: A), B).


A) VASP calculation (PBE) on an optimized crystal structure of ReP2Rh.

Summary:
ρ, g/cm3: 10.31
Symmetry: No. 47

Unit cell a=2.954 b=3.638 c=5.259 alpha=90.00 beta=90.00 gamma=90.00
Sites, in units of the cell vectors:
Re: 0.000 0.000 0.000
P: 0.500 0.500 0.215
P: 0.500 0.500 0.785
Rh: 0.500 0.000 0.500


B) VASP calculation (PBE) on an optimized crystal structure of ReP2Rh.

Summary:
ρ, g/cm3: 10.61
Symmetry: No. 166

Unit cell a=7.515 b=7.515 c=7.515 alpha=22.59 beta=22.59 gamma=22.59
Sites, in units of the cell vectors:
Re: 0.000 0.000 0.000
P: 0.251 0.251 0.251
P: 0.749 0.749 0.749
Rh: 0.500 0.500 0.500


C) VASP calculation (PBE) on an optimized crystal structure of ReP2Rh.

Summary:
ρ, g/cm3: 10.63
Symmetry: No. 12

Unit cell a=4.081 b=4.081 c=5.027 alpha=101.47 beta=101.47 gamma=42.10
Sites, in units of the cell vectors:
Re: 0.000 0.000 0.000
P: 0.256 0.256 0.768
P: 0.744 0.744 0.232
Rh: 0.500 0.500 0.500


Ranked by calculated energy, most stable first: B), C), A).


A) VASP calculation (PBE) on an optimized crystal structure of ReP2Rh.

Summary:
ρ, g/cm3: 10.64
Symmetry: No. 25

Unit cell a=2.998 b=3.638 c=5.024 alpha=90.00 beta=90.00 gamma=90.00
Sites, in units of the cell vectors:
Re: 0.000 0.000 0.000
P: 0.000 0.000 0.504
P: 0.500 0.500 0.850
Rh: 0.500 0.500 0.369


B) VASP calculation (PBE) on an optimized crystal structure of ReP2Rh.

Summary:
ρ, g/cm3: 10.96
Symmetry: No. 139

Unit cell a=4.224 b=4.224 c=4.224 alpha=120.12 beta=120.12 gamma=89.79
Sites, in units of the cell vectors:
Re: 0.000 0.000 0.000
P: 0.250 0.750 0.500
P: 0.750 0.250 0.500
Rh: 0.500 0.500 0.000


Ranked by calculated energy, most stable first: A), B).


A) VASP calculation (PBE) on an optimized crystal structure of ReP3Rh.

Summary:
ρ, g/cm3: 7.11
Symmetry: No. 221

Unit cell a=4.469 b=4.469 c=4.469 alpha=90.00 beta=90.00 gamma=90.00
Sites, in units of the cell vectors:
Re: 0.000 0.000 0.000
P: 0.000 0.500 0.500
P: 0.500 0.000 0.500
P: 0.500 0.500 0.000
Rh: 0.500 0.500 0.500


B) VASP calculation (PBE) on an optimized crystal structure of ReP3Rh.

Summary:
ρ, g/cm3: 6.63
Symmetry: No. 221

Unit cell a=4.573 b=4.573 c=4.573 alpha=90.00 beta=90.00 gamma=90.00
Sites, in units of the cell vectors:
Re: 0.000 0.000 0.000
P: 0.000 0.000 0.500
P: 0.000 0.500 0.000
P: 0.500 0.000 0.000
Rh: 0.500 0.500 0.500


Ranked by calculated energy, most stable first: B), A).


A) VASP calculation (PBE) on an optimized crystal structure of RePRu.

Summary:
ρ, g/cm3: 13.20
Symmetry: No. 107

Unit cell a=5.198 b=5.198 c=5.198 alpha=147.67 beta=147.67 gamma=46.37
Sites, in units of the cell vectors:
Re: 0.000 0.000 0.000
P: 0.646 0.646 0.000
Ru: 0.300 0.300 0.000


B) VASP calculation (PBE) on an optimized crystal structure of RePRu.

Summary:
ρ, g/cm3: 12.02
Symmetry: No. 216

Unit cell a=3.961 b=3.961 c=3.961 alpha=60.00 beta=60.00 gamma=60.00
Sites, in units of the cell vectors:
Re: 0.000 0.000 0.000
P: 0.750 0.750 0.750
Ru: 0.500 0.500 0.500


Ranked by calculated energy, most stable first: A), B).